Entry 1:
Compound: Y2AlZnC
Source: Alexandria via LeMat-Bulk
Functional: GGA-PBE
Structure: relaxed

a b c (Å): 4.987 4.987 3.938
angles (deg): 90.00 90.00 90.00
Atoms (fractional coordinates):
1 Y 0.000 0.500 0.000
2 Y 0.500 0.000 0.000
3 Al 0.000 0.000 0.500
4 Zn 0.500 0.500 0.500
5 C 0.000 0.000 0.000

The density of states at the Fermi level comes out at 3.51 states/eV/cell. For the energy relative to the elements, the calculation gives -311.8 meV per atom. The calculated total energy comes out at -5.745 eV/atom. The value obtained for the total magnetic moment is 0.000 μB per formula unit. As for the space group: P4/mmm, No. 123.

---

Entry 2:
Compound: AcSiO4
Source: Alexandria via LeMat-Bulk
Functional: GGA-PBE
Structure: relaxed

a b c (Å): 7.220 7.220 7.220
angles (deg): 137.72 137.72 61.34
Atoms (fractional coordinates):
1 Ac 0.375 0.125 0.250
2 Ac 0.625 0.875 0.750
3 Si 0.125 0.375 0.750
4 Si 0.875 0.625 0.250
5 O 0.091 0.200 0.399
6 O 0.192 0.591 0.391
7 O 0.300 0.199 0.891
8 O 0.301 0.692 0.101
9 O 0.699 0.308 0.899
10 O 0.700 0.801 0.109
11 O 0.808 0.409 0.609
12 O 0.909 0.800 0.601

The density of states at the Fermi level comes out at 6.10 states/eV/cell. The calculation puts the formation energy from raw total energies at -2.785 eV/atom. The calculated total energy comes out at -7.679 eV/atom. The value obtained for the total magnetic moment is 1.026 μB per formula unit. As for the space group: I4_1/a, No. 88.

---

Entry 3:
Compound: LaPr12Sm5
Source: Alexandria via LeMat-Bulk
Functional: GGA-PBE
Structure: relaxed

a b c (Å): 11.085 11.085 5.229
angles (deg): 90.00 90.00 90.05
Atoms (fractional coordinates):
1 La 0.000 0.000 0.000
2 Pr 0.001 0.334 0.000
3 Pr 0.167 0.833 0.500
4 Pr 0.168 0.499 0.500
5 Pr 0.334 0.001 0.000
6 Pr 0.335 0.665 0.000
7 Pr 0.499 0.168 0.500
8 Pr 0.501 0.832 0.500
9 Pr 0.665 0.335 0.000
10 Pr 0.666 0.999 0.000
11 Pr 0.832 0.501 0.500
12 Pr 0.833 0.167 0.500
13 Pr 0.999 0.666 0.000
14 Sm 0.168 0.168 0.500
15 Sm 0.333 0.333 0.000
16 Sm 0.500 0.500 0.500
17 Sm 0.667 0.667 0.000
18 Sm 0.832 0.832 0.500

The density of states at the Fermi level comes out at 29.78 states/eV/cell. For the energy relative to the elements, the calculation gives 13.9 meV per atom. The calculated total energy comes out at -4.757 eV/atom. The value obtained for the total magnetic moment is 0.000 μB per formula unit. As for the space group: Cmmm, No. 65.